(1)
First-principles (PBE-GGA) data for an optimized crystal structure of SrTcSb2Pt, as listed in the Alexandria database.

Computed properties:
Raw formation energy, eV per formula unit: 1.719

POSCAR file:
```
SrTcSb2Pt
1.0
-1.5979 -3.0017 -3.6859
5.3688 -1.7632 -0.8915
-0.6683 -3.7081 3.3095
Sb Tc Pt Sr
2 1 1 1
Direct
0.0000 0.0000 0.5000
0.5000 0.0000 0.0000
0.0000 0.0000 0.0000
0.5000 0.5000 0.5000
0.0000 0.5000 0.0000
```

=====

(2)
First-principles (PBE-GGA) data for an optimized crystal structure of BaAsOs2, as listed in the Alexandria database.

Computed properties:
Formation energy, eV per atom: 1.25

POSCAR file:
```
BaAsOs2
1.0
-2.7008 -1.5362 3.8088
-2.6467 -3.1645 -2.6725
4.9149 -0.0490 0.0533
As Os Ba
1 2 1
Direct
0.5000 0.5000 0.0000
0.0000 0.0000 0.0000
0.2500 0.7500 0.5000
0.7500 0.2500 0.5000
```

=====

(3)
First-principles (PBE-GGA) data for an optimized crystal structure of TcAgH3, as listed in the Alexandria database.

Computed properties:
Relative energy among the computed polymorphs, meV per atom: 533.4

POSCAR file:
```
TcAgH3
1.0
-2.5369 -1.6628 -1.7813
2.3569 -1.0214 -2.4032
0.6187 -2.9267 1.8508
H Tc Ag
3 1 1
Direct
0.0000 0.5000 0.0000
0.0000 0.0000 0.5000
0.5000 0.0000 0.0000
0.5000 0.5000 0.5000
0.0000 0.0000 0.0000
```

=====

(4)
First-principles (PBE-GGA) data for an optimized crystal structure of Cs2HSeI6, as listed in the Alexandria database.

POSCAR file:
```
Cs2HSeI6
1.0
-1.0171 0.2772 -7.7963
-7.6404 -1.6234 0.9391
-5.6001 5.5338 -3.0420
Cs I Se H
2 6 1 1
Direct
0.7500 0.2500 0.5000
0.2500 0.7500 0.5000
0.2229 0.2229 0.5542
0.7771 0.7771 0.4458
0.2648 0.2648 0.0000
0.7352 0.7352 0.0000
0.7352 0.2648 0.0000
0.2648 0.7352 0.0000
0.0000 0.0000 0.0000
0.5000 0.5000 0.0000
```

=====

(5)
First-principles (PBE-GGA) data for an optimized crystal structure of BaSn4H2, as listed in the Alexandria database.

POSCAR file:
```
BaSn4H2
1.0
-2.3519 5.2051 2.5159
-0.5983 -2.9207 5.4832
3.8693 2.8384 5.4863
H Ba Sn
2 1 4
Direct
0.5398 0.5398 0.9204
0.4602 0.4602 0.0796
0.0000 0.0000 0.0000
0.7004 0.7004 0.5991
0.2996 0.2996 0.4009
0.0000 0.5000 0.0000
0.5000 0.0000 0.0000
```

=====

(6)
First-principles (PBE-GGA) data for an optimized crystal structure of BaTlZnHg, as listed in the Alexandria database.

Computed properties:
Formation energy, eV per atom: -0.25

POSCAR file:
```
BaTlZnHg
1.0
5.5042 0.0000 0.0000
2.7521 4.7668 0.0000
2.7521 1.5889 4.4942
Zn Tl Hg Ba
1 1 1 1
Direct
0.0000 0.0000 0.0000
0.2500 0.2500 0.2500
0.5000 0.5000 0.5000
0.7500 0.7500 0.7500
```

=====

(7)
First-principles (PBE-GGA) data for an optimized crystal structure of Nd3Y2Tm, as listed in the Alexandria database.

Computed properties:
Formation energy, eV per atom: 0.09
Relative energy among the computed polymorphs, meV per atom: 78.9

POSCAR file:
```
Nd3Y2Tm
1.0
-4.2713 -3.3335 2.2787
2.8442 -6.0998 -3.5920
5.9079 2.9380 7.7911
Nd Y Tm
6 4 2
Direct
0.5000 0.2500 0.0000
0.5000 0.7500 0.0000
0.1533 0.4033 0.3065
0.8467 0.0967 0.6935
0.8467 0.5967 0.6935
0.1533 0.9033 0.3065
0.6775 0.6775 0.3551
0.3224 0.8225 0.6449
0.6776 0.1775 0.3551
0.3225 0.3225 0.6449
0.0000 0.5000 0.0000
0.0000 0.0000 0.0000
```

=====

(8)
First-principles (PBE-GGA) data for an optimized crystal structure of PaAgIrO6, as listed in the Alexandria database.

Computed properties:
Raw formation energy, eV per formula unit: -14.429

POSCAR file:
```
PaAgIrO6
1.0
5.5236 0.0000 0.0000
-2.7618 4.7836 0.0000
0.0000 0.0000 9.5137
Pa Ag Ir O
2 2 2 12
Direct
0.3333 0.6667 0.2500
0.6667 0.3333 0.7500
0.0000 0.0000 0.0000
0.0000 0.0000 0.5000
0.6667 0.3333 0.2500
0.3333 0.6667 0.7500
0.6512 0.6253 0.1364
0.9741 0.3488 0.1364
0.3488 0.9741 0.6364
0.0259 0.6512 0.8636
0.3747 0.3488 0.3636
0.9741 0.6253 0.3636
0.6253 0.9741 0.8636
0.6512 0.0259 0.3636
0.0259 0.3747 0.6364
0.3747 0.0259 0.1364
0.6253 0.6512 0.6364
0.3488 0.3747 0.8636
```

=====

(9)
First-principles (PBE-GGA) data for an optimized crystal structure of SrCd2PbF, as listed in the Alexandria database.

Computed properties:
Raw formation energy, eV per formula unit: 1.368

POSCAR file:
```
SrCd2PbF
1.0
6.5604 0.0000 0.0000
0.0000 6.5604 0.0000
0.0000 0.0000 6.5670
Pb Sr F Cd
1 1 1 2
Direct
0.0000 0.0000 0.5000
0.0000 0.0000 0.0000
0.5000 0.5000 0.5000
0.0000 0.5000 0.0000
0.5000 0.0000 0.0000
```

=====

(10)
First-principles (PBE-GGA) data for an optimized crystal structure of Ca2Ga5Pd, as listed in the Alexandria database.

Computed properties:
Formation energy, eV per atom: -0.39
Relative energy among the computed polymorphs, meV per atom: 124.4

POSCAR file:
```
Ca2Ga5Pd
1.0
6.4715 -0.2308 -0.3289
-3.3871 5.5192 0.3289
-3.3871 -1.5682 5.3019
Ca Ga Pd
2 5 1
Direct
0.5000 0.2309 0.7309
0.5000 0.7309 0.2309
0.4291 0.7022 0.7022
0.0000 0.7022 0.2731
0.0000 0.2731 0.7022
0.5709 0.2731 0.2731
0.0000 0.2834 0.2834
0.0000 0.0265 0.0265
```

=====

(11)
First-principles (PBE-GGA) data for an optimized crystal structure of Mn2CrAg, as listed in the Alexandria database.

Computed properties:
Formation energy, eV per atom: 1.03
Relative energy among the computed polymorphs, meV per atom: 784.9

POSCAR file:
```
Mn2CrAg
1.0
-1.4590 -3.3644 0.3521
1.2575 -0.8954 -3.3449
7.0691 -4.8800 1.9353
Cr Mn Ag
2 4 2
Direct
0.5000 0.5000 0.0000
0.2500 0.7500 0.5000
0.5375 0.1250 0.2500
0.2125 0.6250 0.2500
0.3750 0.4625 0.7500
0.8750 0.7875 0.7500
0.0000 0.0000 0.0000
0.7500 0.2500 0.5000
```

=====

(12)
First-principles (PBE-GGA) data for an optimized crystal structure of LiCa2Tl, as listed in the Alexandria database.

Computed properties:
Formation energy, eV per atom: -0.23
Relative energy among the computed polymorphs, meV per atom: 64.6

POSCAR file:
```
LiCa2Tl
1.0
-2.4942 -4.1318 -1.7908
3.3668 -1.9139 -0.2733
0.9759 -2.9885 5.5360
Tl Ca Li
1 2 1
Direct
0.5000 0.5581 0.7601
0.0000 0.9764 0.9241
0.5000 0.2791 0.3155
0.0000 0.6863 0.5003
```

=====

(13)
First-principles (PBE-GGA) data for an optimized crystal structure of NbAl2Ga4, as listed in the Alexandria database.

Computed properties:
Formation energy, eV per atom: 0.14

POSCAR file:
```
NbAl2Ga4
1.0
6.7098 0.0000 0.0000
0.0000 6.7098 0.0000
-3.3549 -3.3549 2.5969
Nb Al Ga
1 2 4
Direct
0.5000 0.5000 0.0000
0.7500 0.2500 0.5000
0.2500 0.7500 0.5000
0.8070 0.1965 0.0035
0.1965 0.8070 0.0035
0.8035 0.8035 0.9965
0.1930 0.1930 0.9965
```

=====

(14)
First-principles (PBE-GGA) data for an optimized crystal structure of Rb2NiAu2, as listed in the Alexandria database.

Computed properties:
Formation energy, eV per atom: 0.13

POSCAR file:
```
Rb2NiAu2
1.0
-6.8443 0.1363 0.9261
0.2283 -6.3851 2.6267
0.7361 2.1352 5.1263
Ni Au Rb
2 4 4
Direct
0.0000 0.0000 0.0000
0.5000 0.5000 0.0000
0.3508 0.8508 0.0000
0.8508 0.6492 0.0000
0.6492 0.1492 0.0000
0.1492 0.3508 0.0000
0.1750 0.6750 0.5000
0.6750 0.8250 0.5000
0.8250 0.3250 0.5000
0.3250 0.1750 0.5000
```

=====

(15)
First-principles (PBE-GGA) data for an optimized crystal structure of Pm6Sm3Ho2Tm, as listed in the Alexandria database.

Computed properties:
Formation energy, eV per atom: 0.01

POSCAR file:
```
Pm6Sm3Ho2Tm
1.0
6.2624 -0.0006 0.0069
-3.1302 5.4239 0.0069
-1.0550 -1.8267 11.7283
Pm Sm Ho Tm
6 3 2 1
Direct
0.9173 0.5843 0.7534
0.7496 0.7496 0.2468
0.0827 0.4157 0.2466
0.5843 0.9173 0.7534
0.2504 0.2504 0.7532
0.4157 0.0827 0.2466
0.1666 0.8334 0.5000
0.8334 0.1666 0.5000
0.5000 0.5000 0.5000
0.3334 0.6666 0.0000
0.6666 0.3334 0.0000
0.0000 0.0000 0.0000
```

=====

(16)
First-principles (PBE-GGA) data for an optimized crystal structure of Th7Ge4Se4, as listed in the Alexandria database.

Computed properties:
Raw formation energy, eV per formula unit: -15.351

POSCAR file:
```
Th7Ge4Se4
1.0
7.1163 0.0000 1.9759
3.5581 10.6283 0.9880
0.7146 0.0000 11.2289
Th Ge Se
14 8 8
Direct
0.5000 0.6223 0.3777
0.5000 0.3777 0.6223
0.1223 0.3777 0.3777
0.8777 0.6223 0.6223
0.7530 0.0000 0.0000
0.2470 0.0000 0.0000
0.7003 0.5994 0.0000
0.2997 0.4006 0.0000
0.2997 0.0000 0.4006
0.7003 0.0000 0.5994
0.0000 0.2761 0.7239
0.0000 0.7239 0.2761
0.2761 0.7239 0.7239
0.7239 0.2761 0.2761
0.0984 0.8033 0.5000
0.4016 0.1967 0.5000
0.4016 0.5000 0.1967
0.0984 0.5000 0.8033
0.9016 0.5000 0.1967
0.5984 0.5000 0.8033
0.5984 0.8033 0.5000
0.9016 0.1967 0.5000
0.8820 0.2361 0.0000
0.1180 0.7639 0.0000
0.1180 0.0000 0.7639
0.8820 0.0000 0.2361
0.5000 0.8332 0.1668
0.5000 0.1668 0.8332
0.3332 0.1668 0.1668
0.6668 0.8332 0.8332
```

=====

(17)
First-principles (PBE-GGA) data for an optimized crystal structure of Li6NdZn12, as listed in the Alexandria database.

Computed properties:
Formation energy, eV per atom: -0.04

POSCAR file:
```
Li6NdZn12
1.0
7.0789 -0.0213 -0.0300
-1.7754 6.8526 -0.0300
-1.7754 -2.2869 6.4599
Li Nd Zn
6 1 12
Direct
0.7080 0.2727 0.2727
0.2727 0.2727 0.7080
0.2727 0.7080 0.2727
0.7273 0.7273 0.2920
0.2920 0.7273 0.7273
0.7273 0.2920 0.7273
0.0000 0.0000 0.0000
0.8860 0.1140 0.5000
0.8545 0.5994 0.5994
0.5994 0.5994 0.8545
0.4006 0.1455 0.4006
0.4006 0.4006 0.1455
0.1455 0.4006 0.4006
0.1140 0.5000 0.8860
0.5000 0.8860 0.1140
0.1140 0.8860 0.5000
0.8860 0.5000 0.1140
0.5000 0.1140 0.8860
0.5994 0.8545 0.5994
```

=====

(18)
First-principles (PBE-GGA) data for an optimized crystal structure of YCrSe2, as listed in the Alexandria database.

Computed properties:
Relative energy among the computed polymorphs, meV per atom: 227.8
Raw formation energy, eV per formula unit: -3.293

POSCAR file:
```
YCrSe2
1.0
7.7121 0.0003 0.0006
-3.0370 3.7593 0.0045
1.6381 1.3058 2.8532
Cr Se Y
1 2 1
Direct
0.5000 0.5000 0.0000
0.0000 0.0000 0.0000
0.5000 0.0000 0.5000
0.0000 0.5000 0.5000
```

=====

(19)
First-principles (PBE-GGA) data for an optimized crystal structure of Ca5Cd4Ag, as listed in the Alexandria database.

Computed properties:
Formation energy, eV per atom: -0.35

POSCAR file:
```
Ca5Cd4Ag
1.0
-1.0936 -3.5949 -0.1295
1.1430 -0.2190 -3.5751
17.7681 -5.6221 6.0247
Ca Cd Ag
5 4 1
Direct
0.5000 0.5000 0.0949
0.5000 0.5000 0.2977
0.5000 0.5000 0.5000
0.5000 0.5000 0.7023
0.5000 0.5000 0.9051
0.0000 0.0000 0.1962
0.0000 0.0000 0.3986
0.0000 0.0000 0.6014
0.0000 0.0000 0.8038
0.0000 0.0000 0.0000
```

=====

In order of appearance, DFT total energy = -24.6 -24.0 -18.8 -22.4 -20.6 -6.9 -62.4 -130.8 -7.7 -27.5 -53.4 -9.2 -28.7 -27.2 -56.1 -199.4 -32.4 -26.3 -20.0 eV per cell.